# Cs2SrGaBi2

A relaxed Cs2SrGaBi2 crystal (PBE, Alexandria).

Calculated volume ... 45.5 A^3/atom
ΔH_f (0 K) ... -439 meV/atom
Mass density ... 5.112 Mg/m³
E ... -2.80 eV per atom
Spin magnetization ... 0.0000 μB per atom
N(E_F) ... 0.47 states/eV per atom

Cell and atoms, written as extended XYZ:
```
12
Lattice="7.701 0.000 0.000 0.000 7.857 0.000 -3.850 -3.928 9.031" Properties=species:S:1:pos:R:3 pbc="T T T"
Cs 2.039 0.000 3.176
Cs 1.811 3.928 5.855
Cs -1.811 0.000 5.855
Cs 5.662 3.928 3.176
Sr 0.000 5.893 0.000
Sr 0.000 1.964 0.000
Ga 3.850 5.893 0.000
Ga 3.850 1.964 0.000
Bi 5.563 0.000 1.715
Bi 2.137 3.929 1.715
Bi 1.713 0.000 7.315
Bi -1.713 3.928 7.315
```